Below is a relaxed structure of TmBiH2, with properties calculated at the PBE level.

Summary:
The space group is P2_1/m, No. 11. The total DFT energy (no corrections) is -4.01 eV/atom.

abc: 3.6296 3.6202 10.4739
angles: 100.86 90.00 90.00
Element x y z (fractional)
Bi1 0.7500 0.4271 0.8299
Bi2 0.2500 0.5729 0.1701
H1 0.2500 0.9256 0.8265
H2 0.7500 0.0744 0.1735
H3 0.7500 0.7503 0.5003
H4 0.2500 0.2497 0.4997
Tm1 0.2500 0.8174 0.6251
Tm2 0.7500 0.1826 0.3749

---

Below is a relaxed structure of In2RePb, with properties calculated at the PBE level.

Summary:
The calculation puts the formation energy at 638 meV per atom. The space group is Pm, No. 6. The excess energy over the best structure of this formula in the dataset comes out at 193 meV per atom.

abc: 4.4910 3.6597 5.7766
angles: 71.22 90.00 90.00
Element x y z (fractional)
Pb1 0.0000 0.5335 0.5623
In1 0.0000 0.8024 0.0212
In2 0.5000 0.2182 0.1870
Re1 0.5000 0.9460 0.7295

---

Below is a relaxed structure of Sm12Al4CdN3, with properties calculated at the PBE level.

Summary:
The space group is Im-3m, No. 229. The total DFT energy (no corrections) is -5.32 eV/atom.

abc: 8.8127 8.8127 8.8127
angles: 109.47 109.47 109.47
Element x y z (fractional)
N1 0.0000 0.5000 0.5000
N2 0.5000 0.5000 0.0000
N3 0.5000 0.0000 0.5000
Sm1 0.2753 0.0000 0.2753
Sm2 0.2753 0.2753 0.0000
Sm3 0.0000 0.2753 0.2753
Sm4 0.7247 0.0000 0.7247
Sm5 0.7247 0.7247 0.0000
Sm6 0.5000 0.7500 0.2500
Sm7 0.5000 0.2500 0.7500
Sm8 0.0000 0.7247 0.7247
Sm9 0.2500 0.7500 0.5000
Sm10 0.7500 0.5000 0.2500
Sm11 0.2500 0.5000 0.7500
Sm12 0.7500 0.2500 0.5000
Al1 0.0000 0.0000 0.5000
Al2 0.5000 0.5000 0.5000
Al3 0.5000 0.0000 0.0000
Al4 0.0000 0.5000 0.0000
Cd1 0.0000 0.0000 0.0000

---

Below is a relaxed structure of Pm2ZrSb3, with properties calculated at the PBE level.

Summary:
The space group is I4/mmm, No. 139. The total DFT energy (no corrections) is -6.01 eV/atom.

abc: 9.7361 9.7361 9.7361
angles: 154.01 154.01 37.08
Element x y z (fractional)
Sb1 0.1599 0.1599 0.0000
Sb2 0.8401 0.8401 0.0000
Sb3 0.5000 0.5000 0.0000
Pm1 0.6681 0.6681 0.0000
Pm2 0.3319 0.3319 0.0000
Zr1 0.0000 0.0000 0.0000

---

Below is a relaxed structure of Ho4CdBi, with properties calculated at the PBE level.

Summary:
The calculation puts the formation energy at -352 meV per atom. The space group is F-43m, No. 216. The excess energy over the best structure of this formula in the dataset comes out at 0 meV per atom.

abc: 9.9818 9.9818 9.9818
angles: 60.00 60.00 60.00
Element x y z (fractional)
Ho1 0.8165 0.1835 0.1835
Ho2 0.8715 0.3762 0.3762
Ho3 0.5605 0.9395 0.9395
Ho4 0.1835 0.8165 0.1835
Ho5 0.8165 0.1835 0.8165
Ho6 0.1835 0.8165 0.8165
Ho7 0.5605 0.9395 0.5605
Ho8 0.3762 0.8715 0.3762
Ho9 0.5605 0.5605 0.9395
Ho10 0.9395 0.5605 0.5605
Ho11 0.9395 0.5605 0.9395
Ho12 0.1835 0.1835 0.8165
Ho13 0.8165 0.8165 0.1835
Ho14 0.3762 0.3762 0.3762
Ho15 0.9395 0.9395 0.5605
Ho16 0.3762 0.3762 0.8715
Cd1 0.1608 0.1608 0.1608
Cd2 0.1608 0.1608 0.5175
Cd3 0.5175 0.1608 0.1608
Cd4 0.1608 0.5175 0.1608
Bi1 0.5979 0.5979 0.5979
Bi2 0.5979 0.2063 0.5979
Bi3 0.2063 0.5979 0.5979
Bi4 0.5979 0.5979 0.2063

---

Below is a relaxed structure of TiFeSeBr2, with properties calculated at the PBE level.

Summary:
The space group is P4/mmm, No. 123. The excess energy over the best structure of this formula in the dataset comes out at 0 meV per atom.

abc: 5.1558 5.1558 4.9873
angles: 90.00 90.00 90.00
Each line ends with the local moment (μB).
Element x y z (fractional)
Ti1 0.0000 0.0000 0.0000  0.89
Br1 0.5000 0.0000 0.0000  0.01
Br2 0.0000 0.5000 0.0000  0.01
Fe1 0.5000 0.5000 0.5000  3.46
Se1 0.0000 0.0000 0.5000  -0.07

---

Below is a relaxed structure of TbIn2Pd, with properties calculated at the PBE level.

Summary:
The calculation puts the formation energy at -663 meV per atom. The space group is I4mm, No. 107.

abc: 10.8489 10.8489 10.8489
angles: 100.42 100.42 129.67
Element x y z (fractional)
Tb1 0.5271 0.5271 0.0000
Tb2 0.3157 0.3157 0.4040
Tb3 0.8800 0.5999 0.2801
Tb4 0.3157 0.9116 0.0000
Tb5 0.5999 0.8800 0.2801
Tb6 0.9983 0.9983 0.0000
Tb7 0.5999 0.3198 0.7199
Tb8 0.9116 0.9116 0.5960
Tb9 0.3198 0.5999 0.7199
Tb10 0.9116 0.3157 0.0000
In1 0.6343 0.6343 0.7380
In2 0.8962 0.6343 0.0000
In3 0.2133 0.7210 0.2081
In4 0.5129 0.0052 0.7919
In5 0.0052 0.2133 0.4923
In6 0.8962 0.8962 0.2620
In7 0.0052 0.5129 0.7919
In8 0.1072 0.2705 0.8367
In9 0.2705 0.4338 0.1633
In10 0.1244 0.7415 0.6172
In11 0.5072 0.1244 0.3828
In12 0.7210 0.2133 0.2081
In13 0.2705 0.1072 0.8367
In14 0.7415 0.1244 0.6172
In15 0.2133 0.0052 0.4923
In16 0.7210 0.5129 0.5077
In17 0.6343 0.8962 0.0000
In18 0.5129 0.7210 0.5077
In19 0.4338 0.2705 0.1633
In20 0.1244 0.5072 0.3828
Pd1 0.9635 0.7496 0.7861
Pd2 0.3737 0.8737 0.5000
Pd3 0.9635 0.1774 0.2139
Pd4 0.6170 0.2959 0.0000
Pd5 0.2959 0.2959 0.6790
Pd6 0.2959 0.6170 0.0000
Pd7 0.7496 0.9635 0.7861
Pd8 0.1774 0.9635 0.2139
Pd9 0.6170 0.6170 0.3210
Pd10 0.8737 0.3737 0.5000

---

Below is a relaxed structure of BeCuS2N, with properties calculated at the PBE level.

Summary:
The space group is P4/mmm, No. 123. The excess energy over the best structure of this formula in the dataset comes out at 491 meV per atom.

abc: 4.6657 4.6657 3.5234
angles: 90.00 90.00 90.00
Each line ends with the local moment (μB).
Element x y z (fractional)
Be1 0.5000 0.5000 0.5000  0.01
S1 0.0000 0.5000 0.0000  0.03
S2 0.5000 0.0000 0.0000  0.03
N1 0.0000 0.0000 0.5000  0.75
Cu1 0.0000 0.0000 0.0000  0.09

---

Below is a relaxed structure of La2As2N, with properties calculated at the PBE level.

Summary:
The space group is I4/mmm, No. 139. The excess energy over the best structure of this formula in the dataset comes out at 249 meV per atom.

abc: 3.6894 3.6894 8.3864
angles: 77.29 77.29 90.00
Element x y z (fractional)
La1 0.4049 0.4049 0.1901
La2 0.5951 0.5951 0.8099
As1 0.2500 0.7500 0.5000
As2 0.7500 0.2500 0.5000
N1 0.0000 0.0000 0.0000

---

Below is a relaxed structure of CaLaPt10, with properties calculated at the PBE level.

Summary:
The calculation puts the formation energy at -664 meV per atom. The space group is Pmmm, No. 47.

abc: 4.4232 5.4422 9.3771
angles: 90.00 90.00 90.00
Element x y z (fractional)
Pt1 0.5000 0.7492 0.2502
Pt2 0.5000 0.5000 0.0000
Pt3 0.5000 0.7492 0.7498
Pt4 0.0000 0.0000 0.6692
Pt5 0.5000 0.2508 0.7498
Pt6 0.0000 0.0000 0.3308
Pt7 0.0000 0.5000 0.8354
Pt8 0.5000 0.2508 0.2502
Pt9 0.0000 0.5000 0.1646
Pt10 0.5000 0.0000 0.5000
La1 0.0000 0.5000 0.5000
Ca1 0.0000 0.0000 0.0000

---

Below is a relaxed structure of Pm4Pr2HoMg, with properties calculated at the PBE level.

Summary:
The calculation puts the formation energy at 13 meV per atom. The space group is P2/m, No. 10.

abc: 5.0612 5.0685 11.4526
angles: 63.78 90.00 90.00
Element x y z (fractional)
Pm1 0.0000 0.2510 0.2484
Pm2 0.0000 0.7490 0.7516
Pm3 0.5000 0.2493 0.7513
Pm4 0.5000 0.7507 0.2487
Pr1 0.5000 0.0000 0.5000
Pr2 0.0000 0.0000 0.0000
Mg1 0.5000 0.5000 0.0000
Ho1 0.0000 0.5000 0.5000

---

Below is a relaxed structure of CsNa2Sn, with properties calculated at the PBE level.

Summary:
The calculation puts the formation energy at 9 meV per atom. The space group is P4/mmm, No. 123.

abc: 4.2481 4.2481 9.0094
angles: 90.00 90.00 90.00
Element x y z (fractional)
Cs1 0.5000 0.5000 0.5000
Sn1 0.5000 0.5000 0.0000
Na1 0.0000 0.0000 0.1671
Na2 0.0000 0.0000 0.8329

---

no.,density of states at the Fermi level (states/eV/cell)
1,1.98
2,2.52
3,17.29
4,2.21
5,19.97
6,9.79
7,19.98
8,3.83
9,2.62
10,6.84
11,11.64
12,2.45